Below is a relaxed structure of LiAc2Mg, with properties calculated at the PBE level.

CIF file:
```
data_LiAc2Mg
_symmetry_space_group_name_H-M 'P 1'
_symmetry_Int_Tables_number 1
_cell_length_a 12.851
_cell_length_b 12.851
_cell_length_c 12.851
_cell_angle_alpha 16.84
_cell_angle_beta 16.84
_cell_angle_gamma 16.84
loop_
_symmetry_equiv_pos_as_xyz
'x,y,z'
loop_
_atom_site_label
_atom_site_type_symbol
_atom_site_fract_x
_atom_site_fract_y
_atom_site_fract_z
Li1 Li 0.000 0.000 0.000
Ac1 Ac 0.093 0.093 0.093
Ac2 Ac 0.907 0.907 0.907
Mg1 Mg 0.500 0.500 0.500
```

For the energy above the most stable polymorph in this dataset, the calculation gives 254.3 meV per atom. The density of states at the Fermi level is 4.75 states/eV/f.u. The formation enthalpy at 0 K comes out at 0.2447 eV per atom. As for the symmetry: R-3m.